Here is a relaxed structure of ScTiCd from Alexandria via LeMat-Bulk. Energies are from PBE-GGA.

The structure in extended XYZ format:
```
6
Lattice="3.119 0.000 0.000 0.000 3.119 0.000 -0.017 0.000 12.708" Properties=species:S:1:pos:R:3 pbc="T T T"
Sc 0.773 0.780 3.349
Sc 2.329 2.339 9.360
Ti 0.770 0.780 7.287
Ti 2.332 2.339 5.421
Cd 0.767 0.780 11.604
Cd 2.336 2.339 1.104
```

Computed properties:
Crystal system = monoclinic
SG = P2_1/m, No. 11

---

Here is a relaxed structure of PaPt from Alexandria via LeMat-Bulk. Energies are from PBE-GGA.

The structure in extended XYZ format:
```
2
Lattice="0.000 2.888 2.888 2.888 0.000 2.888 2.888 2.888 0.000" Properties=species:S:1:pos:R:3 pbc="T T T"
Pa 0.000 0.000 0.000
Pt 2.888 2.888 2.888
```

Computed properties:
Crystal system = cubic
SG = Fm-3m, No. 225

---

Here is a relaxed structure of CaSnB from Alexandria via LeMat-Bulk. Energies are from PBE-GGA.

The structure in extended XYZ format:
```
6
Lattice="7.582 -1.638 0.000 7.582 1.638 0.000 -2.147 0.000 5.342" Properties=species:S:1:pos:R:3 pbc="T T T"
Ca 0.000 0.000 0.000
Ca 1.665 0.000 3.845
Sn 6.522 0.000 2.609
Sn 10.332 0.000 1.116
B 4.292 0.000 3.304
B 11.481 0.000 3.142
```

Computed properties:
Crystal system = monoclinic
SG = Cm, No. 8

---

Here is a relaxed structure of Li2NiRu from Alexandria via LeMat-Bulk. Energies are from PBE-GGA.

The structure in extended XYZ format:
```
4
Lattice="4.357 -1.253 0.000 4.357 1.253 0.000 -0.612 0.000 4.715" Properties=species:S:1:pos:R:3 pbc="T T T"
Li 0.000 0.000 0.000
Li 1.594 0.000 3.788
Ni 6.232 0.000 1.525
Ru 3.895 0.000 2.261
```

Computed properties:
Crystal system = monoclinic
SG = Cm, No. 8

---

Here is a relaxed structure of La6Tb8Ce from Alexandria via LeMat-Bulk. Energies are from PBE-GGA.

The structure in extended XYZ format:
```
15
Lattice="4.578 2.643 7.066 -4.578 2.643 7.066 0.000 -5.286 7.066" Properties=species:S:1:pos:R:3 pbc="T T T"
La -2.535 -2.205 9.646
La -3.177 1.093 11.553
La 0.642 -3.298 11.553
La -0.642 3.298 9.646
La 3.177 -1.093 9.646
La 2.535 2.205 11.553
Tb 0.000 0.000 1.632
Tb -1.882 0.745 7.664
Tb 0.296 -2.003 7.664
Tb -1.587 -1.258 13.535
Tb 1.587 1.258 7.664
Tb -0.296 2.003 13.535
Tb 1.882 -0.745 13.535
Tb 0.000 0.000 19.567
Ce 0.000 0.000 10.599
```

Computed properties:
Crystal system = trigonal
SG = R-3, No. 148

---

Here is a relaxed structure of TbFe2C3 from Alexandria via LeMat-Bulk. Energies are from PBE-GGA.

The structure in extended XYZ format:
```
12
Lattice="3.274 -4.423 0.000 3.274 4.423 0.000 0.000 0.000 4.792" Properties=species:S:1:pos:R:3 pbc="T T T"
Tb 3.274 2.557 3.594
Tb 3.274 -2.557 1.198
Fe 2.031 0.000 0.000
Fe 2.031 0.000 2.396
Fe 4.517 0.000 0.000
Fe 4.517 0.000 2.396
C 0.692 0.654 3.594
C 0.692 -0.654 1.198
C 3.274 0.756 1.198
C 3.274 -0.756 3.594
C 5.856 0.654 3.594
C 5.856 -0.654 1.198
```

Computed properties:
Crystal system = orthorhombic
SG = Cmcm, No. 63

---

One value per record, in order, for DFT total energy: -5.104 -8.573 -4.376 -4.632 -4.719 -8.253 eV/atom.
One value per record, in order, for N(E_F): 3.66 5.16 1.20 2.83 28.14 3.86 states/eV/f.u..
One value per record, in order, for size of the total moment: 0.00 1.08 0.00 0.00 1.29 1.24 μB/cell.